Material: TiBeCr2Re
Method: DFT, GGA-PBE
State: relaxed

size of the total moment = 0.00 μB/f.u.
formation energy = 1.816 eV per atom

Unit cell a=4.186 b=4.186 c=4.607 alpha=90.00 beta=90.00 gamma=90.00
Space group P4/mmm (No. 123)
One atom of each set of equivalent atoms:
Ti  0.000  0.000  0.000 [1 per cell]
Be  0.500  0.500  0.500 [1 per cell]
Cr  0.000  0.500  0.000 [2 per cell]
Re  0.000  0.000  0.500 [1 per cell]

***

Material: SrMg2Re
Method: DFT, GGA-PBE
State: relaxed

size of the total moment = 0.00 μB/f.u.
formation energy = 0.600 eV per atom

Unit cell a=3.052 b=5.525 c=11.439 alpha=90.00 beta=90.00 gamma=90.00
Space group Immm (No. 71)
One atom of each set of equivalent atoms:
Sr  0.000  0.000  0.000 [2 per cell]
Mg  0.000  0.500  0.204 [4 per cell]
Re  0.000  0.000  0.500 [2 per cell]

***

Question: The lowest formation energy belongs to which entry?
Answer: SrMg2Re

***

Question: Which value of formation energy does entry 2 give?
Answer: 0.600 eV per atom

***

Repeat the second record exactly.
Material: SrMg2Re
Method: DFT, GGA-PBE
State: relaxed

size of the total moment = 0.00 μB/f.u.
formation energy = 0.600 eV per atom

Unit cell a=3.052 b=5.525 c=11.439 alpha=90.00 beta=90.00 gamma=90.00
Space group Immm (No. 71)
One atom of each set of equivalent atoms:
Sr  0.000  0.000  0.000 [2 per cell]
Mg  0.000  0.500  0.204 [4 per cell]
Re  0.000  0.000  0.500 [2 per cell]